A plane-wave DFT calculation with PBE-GGA was carried out for an optimized crystal structure of BaBH4.

* ρ: 4.22 g/cm3
* E above lowest polymorph: 168 meV/atom
* total energy: -43.826 eV for the cell shown

a b c (Å): 3.7818 5.1669 6.4085
angles (deg): 90.00 107.16 90.00
Last column: nearest neighbours and their distance in Å.
Sites, in units of the cell vectors:
Ba: 0.3873 0.7500 0.7746  13 H 2.59-2.76
Ba: 0.6127 0.2500 0.2254  13 H 2.59-2.76
B: 0.1071 0.7500 0.2141  2 H 1.28
B: 0.8929 0.2500 0.7859  2 H 1.28
H: 0.1758 0.5640 0.3516  1 B 1.28
H: 0.8242 0.4360 0.6484  1 B 1.28
H: 0.1758 0.9360 0.3516  1 B 1.28
H: 0.8242 0.0640 0.6484  1 B 1.28
H: 0.6014 0.7500 0.2028  2 B 1.89
H: 0.3986 0.2500 0.7972  2 B 1.89
H: 0.0000 0.5000 0.0000  2 B 1.84
H: 0.0000 0.0000 0.0000  2 B 1.84

=====

A plane-wave DFT calculation with PBE-GGA was carried out for an optimized crystal structure of KBaB2H.

* ρ: 0.92 g/cm3
* total energy: -9.755 eV for the cell shown

a b c (Å): 5.2321 13.0788 5.2321
angles (deg): 90.00 90.00 90.00
Last column: nearest neighbours and their distance in Å.
Sites, in units of the cell vectors:
H: 0.5000 0.5000 0.5000  4 K 3.70
K: 0.0000 0.5000 0.0000  4 H 3.70
B: 0.0000 0.0000 0.5000  2 Ba 2.62
B: 0.5000 0.0000 0.0000  2 Ba 2.62
Ba: 0.0000 0.0000 0.0000  4 B 2.62

=====

A plane-wave DFT calculation with PBE-GGA was carried out for an optimized crystal structure of KBaB2H8.

* ρ: 2.40 g/cm3
* total energy: -47.796 eV for the cell shown

a b c (Å): 4.5261 4.5261 8.4487
angles (deg): 74.46 74.46 60.00
Last column: nearest neighbours and their distance in Å.
Sites, in units of the cell vectors:
K: 0.0000 0.0000 0.0000  12 H 2.71-2.77
Ba: 0.5000 0.5000 0.5000  12 H 2.80
B: 0.7475 0.7475 0.7574  4 H 1.23-1.24
B: 0.2525 0.2525 0.2426  4 H 1.23-1.24
H: 0.6964 0.6964 0.9108  1 B 1.23
H: 0.3036 0.3036 0.0892  1 B 1.23
H: 0.5328 0.0863 0.2947  1 B 1.24
H: 0.9137 0.4672 0.7053  1 B 1.24
H: 0.9138 0.9137 0.7053  1 B 1.24
H: 0.0863 0.0862 0.2947  1 B 1.24
H: 0.0862 0.5328 0.2947  1 B 1.24
H: 0.4672 0.9138 0.7053  1 B 1.24

=====

A plane-wave DFT calculation with PBE-GGA was carried out for an optimized crystal structure of BaLaB2H.

* ρ: 3.08 g/cm3
* total energy: -15.377 eV for the cell shown

a b c (Å): 4.7094 7.2695 4.7094
angles (deg): 90.00 90.00 90.00
Last column: nearest neighbours and their distance in Å.
Sites, in units of the cell vectors:
H: 0.5000 0.5000 0.5000  4 Ba 3.33
B: 0.0000 0.0000 0.5000  2 La 2.35
B: 0.5000 0.0000 0.0000  2 La 2.35
Ba: 0.0000 0.5000 0.0000  4 H 3.33, 2 La 3.63
La: 0.0000 0.0000 0.0000  4 B 2.35

=====

A plane-wave DFT calculation with PBE-GGA was carried out for an optimized crystal structure of BaLiB2H8.

* ρ: 2.35 g/cm3
* total energy: -47.920 eV for the cell shown

a b c (Å): 4.5573 4.5573 8.4508
angles (deg): 116.98 116.98 54.35
Last column: nearest neighbours and their distance in Å.
Sites, in units of the cell vectors:
Ba: 0.0000 0.0000 0.5000  12 H 2.68-2.88
Li: 0.0000 0.0000 0.0000  4 H 2.01
B: 0.5354 0.5354 0.2148  4 H 1.23-1.25
B: 0.4646 0.4646 0.7852  4 H 1.23-1.25
H: 0.8066 0.3343 0.8442  1 B 1.23
H: 0.6538 0.6538 0.1654  1 B 1.23
H: 0.6212 0.6212 0.3866  1 B 1.25
H: 0.3788 0.3788 0.6133  1 B 1.25
H: 0.3462 0.3462 0.8346  1 B 1.23
H: 0.3343 0.8066 0.8442  1 B 1.23
H: 0.6657 0.1934 0.1558  1 B 1.23
H: 0.1934 0.6657 0.1558  1 B 1.23

=====

A plane-wave DFT calculation with PBE-GGA was carried out for an optimized crystal structure of BaB2HN2.

* ρ: 4.26 g/cm3
* total energy: -77.649 eV for the cell shown

a b c (Å): 4.5491 5.9213 5.6928
angles (deg): 107.32 90.00 90.00
Last column: nearest neighbours and their distance in Å.
Sites, in units of the cell vectors:
Ba: 0.7500 0.3109 0.6724  6 N 2.82-3.10, 3 H 2.91-3.15
Ba: 0.2500 0.6891 0.3276  6 N 2.82-3.10, 3 H 2.91-3.15
B: 0.4791 0.1506 0.1264  2 N 1.44-1.47, 1 H 1.60
B: 0.0209 0.1506 0.1264  2 N 1.44-1.47, 1 H 1.60
B: 0.9791 0.8494 0.8736  2 N 1.44-1.47, 1 H 1.60
B: 0.5209 0.8494 0.8736  2 N 1.44-1.47, 1 H 1.60
H: 0.2500 0.1888 0.9290  2 B 1.60
H: 0.7500 0.8112 0.0710  2 B 1.60
N: 0.2500 0.1603 0.3101  2 B 1.47
N: 0.2500 0.7164 0.8383  2 B 1.44
N: 0.7500 0.8397 0.6899  2 B 1.47
N: 0.7500 0.2836 0.1617  2 B 1.44

=====

A plane-wave DFT calculation with PBE-GGA was carried out for an optimized crystal structure of BaB2HN.

* ρ: 4.34 g/cm3
* total energy: -21.550 eV for the cell shown

a b c (Å): 3.4074 5.7276 3.4074
angles (deg): 90.00 90.00 90.00
Last column: nearest neighbours and their distance in Å.
Sites, in units of the cell vectors:
H: 0.0000 0.5000 0.0000  4 Ba 2.41
B: 0.0000 0.0000 0.5000  2 N 1.70
B: 0.5000 0.0000 0.0000  2 N 1.70
Ba: 0.5000 0.5000 0.5000  4 H 2.41
N: 0.0000 0.0000 0.0000  4 B 1.70

=====

A plane-wave DFT calculation with PBE-GGA was carried out for an optimized crystal structure of Ba2BHN.

* ρ: 5.30 g/cm3
* total energy: -19.291 eV for the cell shown

a b c (Å): 5.2164 5.2164 3.4629
angles (deg): 90.00 90.00 90.00
Last column: nearest neighbours and their distance in Å.
Sites, in units of the cell vectors:
H: 0.0000 0.0000 0.0000  2 B 1.73
B: 0.0000 0.0000 0.5000  2 H 1.73
Ba: 0.0000 0.5000 0.0000  2 H 2.61
Ba: 0.5000 0.0000 0.0000  2 H 2.61
N: 0.5000 0.5000 0.5000  8 Ba 3.13, 2 N 3.46

=====

A plane-wave DFT calculation with PBE-GGA was carried out for an optimized crystal structure of BaNaB2H8.

* ρ: 2.49 g/cm3
* total energy: -47.540 eV for the cell shown

a b c (Å): 4.4289 4.4289 9.0513
angles (deg): 119.24 119.24 59.95
Last column: nearest neighbours and their distance in Å.
Sites, in units of the cell vectors:
Ba: 0.0000 0.0000 0.5000  12 H 2.69-2.85
Na: 0.0000 0.0000 0.0000  12 H 2.54-2.55
B: 0.4813 0.4813 0.2216  4 H 1.23-1.25
B: 0.5187 0.5187 0.7784  4 H 1.23-1.25
H: 0.8576 0.4028 0.8321  1 B 1.23
H: 0.5967 0.5967 0.1675  1 B 1.23
H: 0.5929 0.5929 0.3890  1 B 1.25
H: 0.4071 0.4071 0.6110  1 B 1.25
H: 0.4033 0.4033 0.8325  1 B 1.23
H: 0.4028 0.8576 0.8321  1 B 1.23
H: 0.5972 0.1424 0.1679  1 B 1.23
H: 0.1424 0.5972 0.1679  1 B 1.23

=====

A plane-wave DFT calculation with PBE-GGA was carried out for an optimized crystal structure of Ba2B11H7O22.

* ρ: 2.79 g/cm3
* total energy: -605.402 eV for the cell shown

a b c (Å): 6.8846 6.9053 21.8792
angles (deg): 84.88 82.51 60.17
Last column: nearest neighbours and their distance in Å.
Sites, in units of the cell vectors:
Ba: 0.6578 0.6407 0.0588  7 O 2.67-2.98
Ba: 0.3422 0.3593 0.9412  7 O 2.67-2.98
Ba: 0.1960 0.1508 0.4470  6 O 2.64-2.95
Ba: 0.8040 0.8492 0.5530  6 O 2.64-2.95
B: 0.5707 0.6431 0.2152  3 O 1.37-1.38
B: 0.4293 0.3569 0.7848  3 O 1.37-1.38
B: 0.3010 0.3051 0.0913  4 O 1.47-1.52
B: 0.6990 0.6948 0.9087  4 O 1.47-1.52
B: 0.1629 0.4783 0.1930  3 O 1.38
B: 0.8371 0.5217 0.8070  3 O 1.38
B: 0.0608 0.7276 0.0986  4 O 1.46-1.50
B: 0.9392 0.2724 0.9014  4 O 1.46-1.50
B: 0.1348 0.0491 0.0718  3 O 1.37-1.39
B: 0.8652 0.9509 0.9282  3 O 1.37-1.39
B: 0.7475 0.1184 0.0760  3 O 1.36-1.42
B: 0.2525 0.8816 0.9240  3 O 1.36-1.42
B: 0.3135 0.5630 0.4250  3 O 1.37-1.40
B: 0.6865 0.4370 0.5750  3 O 1.37-1.40
B: 0.6305 0.6350 0.4207  3 O 1.36-1.42
B: 0.3695 0.3650 0.5793  3 O 1.36-1.42
B: 0.7054 0.2469 0.4018  4 O 1.46-1.51
B: 0.2946 0.7531 0.5982  4 O 1.46-1.51
B: 0.8346 0.0345 0.3048  3 O 1.38
B: 0.1655 0.9655 0.6952  3 O 1.38
B: 0.8894 0.8259 0.4043  4 O 1.47-1.53
B: 0.1106 0.1741 0.5957  4 O 1.47-1.53
H: 0.3732 0.9289 0.3085  1 O 0.98
H: 0.6268 0.0711 0.6915  1 O 0.98
H: 0.2468 0.1973 0.2959  1 O 0.99
H: 0.7532 0.8027 0.7041  1 O 0.99
H: 0.7466 0.3029 0.2056  1 O 1.00
H: 0.2534 0.6971 0.7944  1 O 1.00
H: 0.6100 0.4986 0.2987  1 O 1.00
H: 0.3900 0.5014 0.7013  1 O 1.00
H: 0.4123 0.9858 0.1892  1 O 0.98
H: 0.5877 0.0142 0.8108  1 O 0.98
H: 0.0699 0.5856 0.2815  1 O 0.99
H: 0.9301 0.4144 0.7185  1 O 0.99
H: 0.9310 0.9106 0.2169  1 O 1.00
H: 0.0690 0.0894 0.7831  1 O 1.00
O: 0.2800 0.0758 0.3274  2 H 0.98-0.99
O: 0.7200 0.9242 0.6726  2 H 0.98-0.99
O: 0.6834 0.4495 0.1824  1 H 1.00
O: 0.3166 0.5505 0.8176  1 H 1.00
O: 0.5423 0.6508 0.2784  1 H 1.00
O: 0.4577 0.3492 0.7216  1 H 1.00
O: 0.4890 0.8295 0.1770  1 H 0.98
O: 0.5110 0.1705 0.8230  1 H 0.98
O: 0.1302 0.5216 0.0673  2 B 1.46-1.47
O: 0.8698 0.4784 0.9327  2 B 1.46-1.47
O: 0.2903 0.1206 0.0635  2 B 1.37-1.50
O: 0.7097 0.8794 0.9365  2 B 1.37-1.50
O: 0.2761 0.2881 0.1589  2 B 1.38-1.47
O: 0.7239 0.7119 0.8411  2 B 1.38-1.47
O: 0.1532 0.4504 0.2565  1 H 0.99
O: 0.8468 0.5496 0.7435  1 H 0.99
O: 0.0613 0.6899 0.1665  2 B 1.38-1.49
O: 0.9387 0.3101 0.8335  2 B 1.38-1.49
O: 0.2095 0.8244 0.0766  2 B 1.37-1.49
O: 0.7905 0.1756 0.9234  2 B 1.37-1.49
O: 0.9048 0.1958 0.0711  2 B 1.39-1.42
O: 0.0952 0.8042 0.9289  2 B 1.39-1.42
O: 0.5309 0.2793 0.0681  2 B 1.37-1.52
O: 0.4691 0.7207 0.9319  2 B 1.37-1.52
O: 0.8252 0.8951 0.0849  2 B 1.36-1.50
O: 0.1748 0.1049 0.9151  2 B 1.36-1.50
O: 0.3964 0.7117 0.4230  2 B 1.40-1.42
O: 0.6036 0.2883 0.5770  2 B 1.40-1.42
O: 0.6863 0.7956 0.4275  2 B 1.37-1.53
O: 0.3137 0.2044 0.5725  2 B 1.37-1.53
O: 0.7768 0.4118 0.4156  2 B 1.36-1.51
O: 0.2232 0.5882 0.5844  2 B 1.36-1.51
O: 0.7231 0.2348 0.3344  2 B 1.38-1.47
O: 0.2769 0.7652 0.6656  2 B 1.38-1.47
O: 0.8537 0.0496 0.2411  1 H 1.00
O: 0.1463 0.9504 0.7589  1 H 1.00
O: 0.9196 0.8313 0.3365  2 B 1.38-1.47
O: 0.0804 0.1687 0.6635  2 B 1.38-1.47
O: 0.0882 0.6299 0.4300  2 B 1.37-1.50
O: 0.9118 0.3701 0.5700  2 B 1.37-1.50
O: 0.8488 0.0324 0.4310  2 B 1.46-1.47
O: 0.1512 0.9676 0.5690  2 B 1.46-1.47
O: 0.4627 0.3383 0.4259  2 B 1.37-1.50
O: 0.5373 0.6617 0.5741  2 B 1.37-1.50

=====

A plane-wave DFT calculation with PBE-GGA was carried out for an optimized crystal structure of BaB2HPd.

* ρ: 5.54 g/cm3
* total energy: -17.547 eV for the cell shown

a b c (Å): 4.7912 3.4764 4.7912
angles (deg): 90.00 90.00 90.00
Last column: nearest neighbours and their distance in Å.
Sites, in units of the cell vectors:
H: 0.0000 0.0000 0.0000  2 Pd 1.74
B: 0.0000 0.0000 0.5000  2 H 2.40
B: 0.5000 0.0000 0.0000  2 H 2.40
Ba: 0.5000 0.5000 0.5000  8 B 2.96
Pd: 0.0000 0.5000 0.0000  2 H 1.74

=====

A plane-wave DFT calculation with PBE-GGA was carried out for an optimized crystal structure of BaB2H8Pd.

* ρ: 3.34 g/cm3
* total energy: -49.946 eV for the cell shown

a b c (Å): 4.9350 4.9350 6.4543
angles (deg): 90.59 90.59 59.79
Last column: nearest neighbours and their distance in Å.
Sites, in units of the cell vectors:
Ba: 0.0000 0.0000 0.5000  12 H 2.70-2.88
B: 0.6656 0.6656 0.2417  4 H 1.25-1.26
B: 0.3344 0.3344 0.7583  4 H 1.25-1.26
H: 0.6098 0.1977 0.8283  1 B 1.26
H: 0.8016 0.8016 0.1723  1 B 1.25
H: 0.6664 0.6664 0.4353  1 B 1.25
H: 0.3336 0.3336 0.5647  1 B 1.25
H: 0.1984 0.1984 0.8277  1 B 1.25
H: 0.1977 0.6098 0.8283  1 B 1.26
H: 0.8023 0.3902 0.1717  1 B 1.26
H: 0.3902 0.8023 0.1717  1 B 1.26
Pd: 0.0000 0.0000 0.0000  6 H 1.99-2.04